Density functional theory data (GGA-PBE) for a relaxed structure of LaPrIr.

Energy relative to the lowest polymorph listed for this composition = 0.032 eV/atom

POSCAR file:
```
LaPrIr
1.0
0.000 3.540 3.540
3.540 0.000 3.540
3.540 3.540 0.000
La Pr Ir
1 1 1
direct
0.000 0.000 0.000 La
0.500 0.500 0.500 Pr
0.750 0.750 0.750 Ir
```